! In2BiSb PBE relaxed; values from VASP
! Spin magnetization: 0.000 μB/atom
! Uncorrected formation energy: 0.07 eV per atom
! ΔE to the lowest computed polymorph: 121 meV per atom
! Calculated volume: 29.3 A^3/atom
&SYSTEM
  ibrav = 0, nat = 4, ntyp = 3
/
ATOMIC_SPECIES
Sb 121.76 Sb.upf
Bi 208.98 Bi.upf
In 114.82 In.upf
CELL_PARAMETERS angstrom
-3.199 2.189 3.471
-3.744 -1.632 -2.420
0.071 -3.985 2.579
ATOMIC_POSITIONS angstrom
Sb -1.599 1.095 1.736
Bi -3.436 -1.714 1.815
In 0.035 -1.993 1.289
In -1.872 -0.816 -1.210